1.
Entry from Alexandria: a crystal of ZrCrW2 relaxed with PBEsol (meta-GGA SCAN).

a = 4.438 Å, b = 4.438 Å, c = 3.171 Å
α = 90.00°, β = 90.00°, γ = 90.00°
Fractional positions:
Zr 0.000 0.000 0.000
Cr 0.500 0.500 0.000
W 0.000 0.500 0.500
W 0.500 0.000 0.500

Properties
The electronic total energy is -187.099 eV per cell. Its density of states at the Fermi level is 3.0 states/eV per cell. Its energy above the most stable polymorph in this dataset is 202 meV/atom. The space group is P4/mmm.


2.
Entry from Alexandria: a crystal of ZrCrW2 relaxed with PBEsol (meta-GGA SCAN).

a = 5.195 Å, b = 5.195 Å, c = 5.195 Å
α = 144.67°, β = 128.20°, γ = 64.27°
Fractional positions:
Zr 0.000 0.000 0.000
Cr 0.254 0.754 0.500
W 0.488 0.488 0.000
W 0.736 0.236 0.500

Properties
The electronic total energy is -187.563 eV per cell. Its density of states at the Fermi level is 2.9 states/eV per cell. Its energy above the most stable polymorph in this dataset is 86 meV/atom. The space group is Imm2.


3.
Entry from Alexandria: a crystal of ZrCrW2 relaxed with PBEsol (meta-GGA SCAN).

a = 5.274 Å, b = 5.274 Å, c = 5.274 Å
α = 145.54°, β = 129.86°, γ = 62.26°
Fractional positions:
Zr 0.000 0.000 0.000
Cr 0.500 0.500 0.000
W 0.264 0.764 0.500
W 0.736 0.236 0.500

Properties
The electronic total energy is -187.906 eV per cell. Its density of states at the Fermi level is 2.5 states/eV per cell. Its energy above the most stable polymorph in this dataset is 0 meV/atom. The space group is Immm.


4.
Entry from Alexandria: a crystal of ZrCrW2 relaxed with PBEsol (meta-GGA SCAN).

a = 4.444 Å, b = 4.444 Å, c = 4.444 Å
α = 60.00°, β = 60.00°, γ = 60.00°
Fractional positions:
Zr 0.000 0.000 0.000
Cr 0.500 0.500 0.500
W 0.250 0.250 0.250
W 0.750 0.750 0.750

Properties
The electronic total energy is -187.213 eV per cell. Its density of states at the Fermi level is 3.3 states/eV per cell. Its energy above the most stable polymorph in this dataset is 173 meV/atom. The space group is Fm-3m.


5.
Entry from Alexandria: a crystal of ZrCrW relaxed with PBEsol (meta-GGA SCAN).

a = 4.366 Å, b = 4.366 Å, c = 4.366 Å
α = 60.00°, β = 60.00°, γ = 60.00°
Fractional positions:
Zr 0.000 0.000 0.000
Cr 0.750 0.750 0.750
W 0.250 0.250 0.250

Properties
The electronic total energy is -114.529 eV per cell. Its density of states at the Fermi level is 2.2 states/eV per cell. Its energy above the most stable polymorph in this dataset is 1478 meV/atom. The space group is F-43m.


6.
Entry from Alexandria: a crystal of ZrCr4W relaxed with PBEsol (meta-GGA SCAN).

a = 4.867 Å, b = 4.867 Å, c = 4.867 Å
α = 60.00°, β = 60.00°, γ = 60.00°
Fractional positions:
Zr 0.000 0.000 0.000
Cr 0.376 0.376 0.376
Cr 0.376 0.376 0.873
Cr 0.376 0.873 0.376
Cr 0.873 0.376 0.376
W 0.750 0.750 0.750

Properties
The electronic total energy is -173.465 eV per cell. Its density of states at the Fermi level is 4.7 states/eV per cell. The space group is F-43m.


7.
Entry from Alexandria: a crystal of ZrCrW relaxed with PBEsol (meta-GGA SCAN).

a = 5.169 Å, b = 5.169 Å, c = 5.169 Å
α = 120.60°, β = 118.62°, γ = 90.69°
Fractional positions:
Zr 0.373 0.123 0.250
Zr 0.627 0.877 0.750
Cr 0.000 0.000 0.500
Cr 0.000 0.500 0.000
W 0.000 0.500 0.500
W 0.500 0.500 0.000

Properties
The electronic total energy is -237.928 eV per cell. Its density of states at the Fermi level is 3.2 states/eV per cell. Its energy above the most stable polymorph in this dataset is 0 meV/atom. The space group is Imma.


8.
Entry from Alexandria: a crystal of Y4Cr relaxed with PBEsol (meta-GGA SCAN).

a = 5.748 Å, b = 5.748 Å, c = 5.748 Å
α = 101.32°, β = 101.32°, γ = 127.41°
Fractional positions:
Y 0.117 0.305 0.423
Y 0.305 0.883 0.188
Y 0.695 0.117 0.812
Y 0.883 0.695 0.577
Cr 0.500 0.500 0.000

Properties
The electronic total energy is -128.824 eV per cell. Its density of states at the Fermi level is 6.3 states/eV per cell. Its energy above the most stable polymorph in this dataset is 0 meV/atom. The space group is I4/m.


Energy of formation, respectively: 0.340 0.224 0.138 0.312 1.414 0.077 -0.064 0.186 eV per atom.